No. 1
# Th2Ga2SnRu5

An optimized crystal structure of Th2Ga2SnRu5 (PBE-GGA, the Alexandria database). Values from VASP.

Structure (Quantum ESPRESSO input):
```
&SYSTEM
  ibrav = 0, nat = 20, ntyp = 4
/
ATOMIC_SPECIES
Th 232.04 Th.upf
Ga 69.72 Ga.upf
Sn 118.71 Sn.upf
Ru 101.07 Ru.upf
ATOMIC_POSITIONS crystal
Th 0.175 0.325 0.000
Th 0.325 0.825 0.000
Th 0.675 0.175 0.000
Th 0.825 0.675 0.000
Ga 0.123 0.623 0.000
Ga 0.377 0.123 0.000
Ga 0.623 0.877 0.000
Ga 0.877 0.377 0.000
Sn 0.000 0.000 0.000
Sn 0.500 0.500 0.000
Ru 0.000 0.500 0.500
Ru 0.071 0.792 0.500
Ru 0.208 0.071 0.500
Ru 0.292 0.571 0.500
Ru 0.429 0.292 0.500
Ru 0.500 0.000 0.500
Ru 0.571 0.708 0.500
Ru 0.708 0.429 0.500
Ru 0.792 0.929 0.500
Ru 0.929 0.208 0.500
CELL_PARAMETERS angstrom
10.122 0.000 0.000
0.000 10.122 0.000
0.000 0.000 3.533
```

For the total energy, the calculation gives -75.405 eV per formula unit. For the formation energy, the calculation gives -413 meV per atom.

***

No. 2
# TlGa2SnRu

An optimized crystal structure of TlGa2SnRu (PBE-GGA, the Alexandria database). Values from VASP.

Structure (Quantum ESPRESSO input):
```
&SYSTEM
  ibrav = 0, nat = 5, ntyp = 4
/
ATOMIC_SPECIES
Tl 204.38 Tl.upf
Ga 69.72 Ga.upf
Sn 118.71 Sn.upf
Ru 101.07 Ru.upf
ATOMIC_POSITIONS crystal
Tl 0.000 0.000 0.000
Ga 0.000 0.500 0.500
Ga 0.500 0.000 0.500
Sn 0.500 0.500 0.000
Ru 0.500 0.500 0.500
CELL_PARAMETERS angstrom
4.851 0.000 0.000
0.000 4.851 0.000
0.000 0.000 5.213
```

For the total energy, the calculation gives -21.899 eV per formula unit. For the formation energy, the calculation gives -40 meV per atom.

***

No. 3
# TlGaSn2Ru

An optimized crystal structure of TlGaSn2Ru (PBE-GGA, the Alexandria database). Values from VASP.

Structure (Quantum ESPRESSO input):
```
&SYSTEM
  ibrav = 0, nat = 5, ntyp = 4
/
ATOMIC_SPECIES
Tl 204.38 Tl.upf
Ga 69.72 Ga.upf
Sn 118.71 Sn.upf
Ru 101.07 Ru.upf
ATOMIC_POSITIONS crystal
Tl 0.000 0.000 0.000
Ga 0.500 0.500 0.000
Sn 0.000 0.500 0.500
Sn 0.500 0.000 0.500
Ru 0.500 0.500 0.500
CELL_PARAMETERS angstrom
5.181 0.000 0.000
0.000 5.181 0.000
0.000 0.000 4.857
```

For the total energy, the calculation gives -22.523 eV per formula unit. For the formation energy, the calculation gives 30 meV per atom.

***

No. 4
# Y2Ga2SnRu5

An optimized crystal structure of Y2Ga2SnRu5 (PBE-GGA, the Alexandria database). Values from VASP.

Structure (Quantum ESPRESSO input):
```
&SYSTEM
  ibrav = 0, nat = 20, ntyp = 4
/
ATOMIC_SPECIES
Y 88.91 Y.upf
Ga 69.72 Ga.upf
Sn 118.71 Sn.upf
Ru 101.07 Ru.upf
ATOMIC_POSITIONS crystal
Y 0.172 0.328 0.000
Y 0.328 0.828 0.000
Y 0.672 0.172 0.000
Y 0.828 0.672 0.000
Ga 0.127 0.627 0.000
Ga 0.373 0.127 0.000
Ga 0.627 0.873 0.000
Ga 0.873 0.373 0.000
Sn 0.000 0.000 0.000
Sn 0.500 0.500 0.000
Ru 0.000 0.500 0.500
Ru 0.064 0.796 0.500
Ru 0.204 0.064 0.500
Ru 0.296 0.564 0.500
Ru 0.436 0.296 0.500
Ru 0.500 0.000 0.500
Ru 0.564 0.704 0.500
Ru 0.704 0.436 0.500
Ru 0.796 0.936 0.500
Ru 0.936 0.204 0.500
CELL_PARAMETERS angstrom
10.045 0.000 0.000
0.000 10.045 0.000
0.000 0.000 3.451
```

For the total energy, the calculation gives -72.633 eV per formula unit. For the formation energy, the calculation gives -327 meV per atom.

***

No. 5
# ZrGaSn2Ru

An optimized crystal structure of ZrGaSn2Ru (PBE-GGA, the Alexandria database). Values from VASP.

Structure (Quantum ESPRESSO input):
```
&SYSTEM
  ibrav = 0, nat = 5, ntyp = 4
/
ATOMIC_SPECIES
Zr 91.22 Zr.upf
Ga 69.72 Ga.upf
Sn 118.71 Sn.upf
Ru 101.07 Ru.upf
ATOMIC_POSITIONS crystal
Zr 0.000 0.000 0.000
Ga 0.500 0.500 0.500
Sn 0.000 0.500 0.000
Sn 0.500 0.000 0.000
Ru 0.000 0.000 0.500
CELL_PARAMETERS angstrom
5.610 0.000 0.000
0.000 5.610 0.000
0.000 0.000 4.793
```

For the total energy, the calculation gives -24.820 eV per formula unit. For the formation energy, the calculation gives 807 meV per atom.

***

No. 6
# SrGa3Ru

An optimized crystal structure of SrGa3Ru (PBE-GGA, the Alexandria database). Values from VASP.

Structure (Quantum ESPRESSO input):
```
&SYSTEM
  ibrav = 0, nat = 5, ntyp = 3
/
ATOMIC_SPECIES
Sr 87.62 Sr.upf
Ga 69.72 Ga.upf
Ru 101.07 Ru.upf
ATOMIC_POSITIONS crystal
Sr 0.000 0.000 0.000
Ga 0.000 0.500 0.500
Ga 0.500 0.000 0.500
Ga 0.500 0.500 0.000
Ru 0.500 0.500 0.500
CELL_PARAMETERS angstrom
4.822 0.000 0.000
0.000 4.822 0.000
0.000 0.000 4.822
```

For the total energy, the calculation gives -21.989 eV per formula unit. For the formation energy, the calculation gives -390 meV per atom.

***

No. 7
# SrGaRu

An optimized crystal structure of SrGaRu (PBE-GGA, the Alexandria database). Values from VASP.

Structure (Quantum ESPRESSO input):
```
&SYSTEM
  ibrav = 0, nat = 6, ntyp = 3
/
ATOMIC_SPECIES
Sr 87.62 Sr.upf
Ga 69.72 Ga.upf
Ru 101.07 Ru.upf
ATOMIC_POSITIONS crystal
Sr 0.250 0.250 0.186
Sr 0.750 0.750 0.814
Ga 0.250 0.250 0.647
Ga 0.750 0.750 0.353
Ru 0.250 0.750 0.500
Ru 0.750 0.250 0.500
CELL_PARAMETERS angstrom
4.622 0.000 0.000
0.000 4.622 0.000
0.000 0.000 6.813
```

For the total energy, the calculation gives -14.846 eV per formula unit. For the formation energy, the calculation gives -287 meV per atom.

***

No. 8
# Sr3GaRu

An optimized crystal structure of Sr3GaRu (PBE-GGA, the Alexandria database). Values from VASP.

Structure (Quantum ESPRESSO input):
```
&SYSTEM
  ibrav = 0, nat = 5, ntyp = 3
/
ATOMIC_SPECIES
Sr 87.62 Sr.upf
Ga 69.72 Ga.upf
Ru 101.07 Ru.upf
ATOMIC_POSITIONS crystal
Sr 0.000 0.000 0.500
Sr 0.000 0.500 0.000
Sr 0.500 0.000 0.000
Ga 0.500 0.500 0.500
Ru 0.000 0.000 0.000
CELL_PARAMETERS angstrom
5.592 0.000 0.000
0.000 5.592 0.000
0.000 0.000 5.592
```

For the total energy, the calculation gives -15.800 eV per formula unit. For the formation energy, the calculation gives 310 meV per atom.

***

No. 9
# Sr2Ga5Ru

An optimized crystal structure of Sr2Ga5Ru (PBE-GGA, the Alexandria database). Values from VASP.

Structure (Quantum ESPRESSO input):
```
&SYSTEM
  ibrav = 0, nat = 8, ntyp = 3
/
ATOMIC_SPECIES
Sr 87.62 Sr.upf
Ga 69.72 Ga.upf
Ru 101.07 Ru.upf
ATOMIC_POSITIONS crystal
Sr 0.000 0.500 0.500
Sr 0.500 0.000 0.500
Ga 0.015 0.015 0.545
Ga 0.015 0.470 0.000
Ga 0.422 0.422 0.000
Ga 0.470 0.015 0.000
Ga 0.470 0.470 0.455
Ru 0.662 0.662 0.000
CELL_PARAMETERS angstrom
-3.027 3.027 5.268
3.027 -3.027 5.268
3.027 3.027 -5.268
```

For the total energy, the calculation gives -30.367 eV per formula unit. For the formation energy, the calculation gives -324 meV per atom.

***

No. 10
# SrGa3Ru

An optimized crystal structure of SrGa3Ru (PBE-GGA, the Alexandria database). Values from VASP.

Structure (Quantum ESPRESSO input):
```
&SYSTEM
  ibrav = 0, nat = 5, ntyp = 3
/
ATOMIC_SPECIES
Sr 87.62 Sr.upf
Ga 69.72 Ga.upf
Ru 101.07 Ru.upf
ATOMIC_POSITIONS crystal
Sr 0.000 0.000 0.000
Ga 0.000 0.000 0.500
Ga 0.000 0.500 0.000
Ga 0.500 0.000 0.000
Ru 0.500 0.500 0.500
CELL_PARAMETERS angstrom
5.601 0.000 0.000
0.000 5.601 0.000
0.000 0.000 5.601
```

For the total energy, the calculation gives -11.396 eV per formula unit. For the formation energy, the calculation gives 1728 meV per atom.

***

No. 11
# Sr2Ga6Ru

An optimized crystal structure of Sr2Ga6Ru (PBE-GGA, the Alexandria database). Values from VASP.

Structure (Quantum ESPRESSO input):
```
&SYSTEM
  ibrav = 0, nat = 9, ntyp = 3
/
ATOMIC_SPECIES
Sr 87.62 Sr.upf
Ga 69.72 Ga.upf
Ru 101.07 Ru.upf
ATOMIC_POSITIONS crystal
Sr 0.333 0.667 0.341
Sr 0.667 0.333 0.659
Ga 0.165 0.331 0.824
Ga 0.165 0.835 0.824
Ga 0.331 0.165 0.176
Ga 0.669 0.835 0.824
Ga 0.835 0.165 0.176
Ga 0.835 0.669 0.176
Ru 0.000 0.000 0.500
CELL_PARAMETERS angstrom
6.069 0.000 0.000
-3.034 5.256 0.000
0.000 0.000 5.907
```

For the total energy, the calculation gives -34.204 eV per formula unit. For the formation energy, the calculation gives -378 meV per atom.

***

No. 12
# Sr2GaRu

An optimized crystal structure of Sr2GaRu (PBE-GGA, the Alexandria database). Values from VASP.

Structure (Quantum ESPRESSO input):
```
&SYSTEM
  ibrav = 0, nat = 4, ntyp = 3
/
ATOMIC_SPECIES
Sr 87.62 Sr.upf
Ga 69.72 Ga.upf
Ru 101.07 Ru.upf
ATOMIC_POSITIONS crystal
Sr 0.000 0.000 0.000
Sr 0.170 0.170 0.170
Ga 0.418 0.418 0.418
Ru 0.752 0.752 0.752
CELL_PARAMETERS angstrom
2.166 1.250 8.144
-2.166 1.250 8.144
0.000 -2.501 8.144
```

For the total energy, the calculation gives -16.487 eV per formula unit. For the formation energy, the calculation gives -205 meV per atom.

***

No. 13
# SrGa3Ru

An optimized crystal structure of SrGa3Ru (PBE-GGA, the Alexandria database). Values from VASP.

Structure (Quantum ESPRESSO input):
```
&SYSTEM
  ibrav = 0, nat = 10, ntyp = 3
/
ATOMIC_SPECIES
Sr 87.62 Sr.upf
Ga 69.72 Ga.upf
Ru 101.07 Ru.upf
ATOMIC_POSITIONS crystal
Sr 0.168 0.832 0.750
Sr 0.832 0.168 0.250
Ga 0.127 0.312 0.750
Ga 0.312 0.127 0.250
Ga 0.314 0.686 0.250
Ga 0.686 0.314 0.750
Ga 0.688 0.873 0.750
Ga 0.873 0.688 0.250
Ru 0.500 0.500 0.000
Ru 0.500 0.500 0.500
CELL_PARAMETERS angstrom
3.182 -5.512 0.000
3.182 5.512 0.000
0.000 0.000 5.857
```

For the total energy, the calculation gives -21.804 eV per formula unit. For the formation energy, the calculation gives -353 meV per atom.

***

No. 14
# SrGa9Ru2

An optimized crystal structure of SrGa9Ru2 (PBE-GGA, the Alexandria database). Values from VASP.

Structure (Quantum ESPRESSO input):
```
&SYSTEM
  ibrav = 0, nat = 24, ntyp = 3
/
ATOMIC_SPECIES
Sr 87.62 Sr.upf
Ga 69.72 Ga.upf
Ru 101.07 Ru.upf
ATOMIC_POSITIONS crystal
Sr 0.375 0.625 0.750
Sr 0.625 0.375 0.250
Ga 0.125 0.875 0.250
Ga 0.129 0.560 0.325
Ga 0.129 0.803 0.568
Ga 0.197 0.265 0.325
Ga 0.197 0.871 0.932
Ga 0.265 0.197 0.825
Ga 0.265 0.440 0.068
Ga 0.440 0.265 0.568
Ga 0.440 0.871 0.175
Ga 0.560 0.129 0.825
Ga 0.560 0.735 0.432
Ga 0.735 0.560 0.932
Ga 0.735 0.803 0.175
Ga 0.803 0.129 0.068
Ga 0.803 0.735 0.675
Ga 0.871 0.197 0.432
Ga 0.871 0.440 0.675
Ga 0.875 0.125 0.750
Ru 0.000 0.000 0.000
Ru 0.000 0.000 0.500
Ru 0.000 0.500 0.000
Ru 0.500 0.000 0.500
CELL_PARAMETERS angstrom
-5.516 5.516 3.456
5.516 -5.516 3.456
5.516 5.516 -3.456
```

For the total energy, the calculation gives -50.693 eV per formula unit. For the formation energy, the calculation gives -268 meV per atom.

***

No. 15
# SrGa3Ru

An optimized crystal structure of SrGa3Ru (PBE-GGA, the Alexandria database). Values from VASP.

Structure (Quantum ESPRESSO input):
```
&SYSTEM
  ibrav = 0, nat = 10, ntyp = 3
/
ATOMIC_SPECIES
Sr 87.62 Sr.upf
Ga 69.72 Ga.upf
Ru 101.07 Ru.upf
ATOMIC_POSITIONS crystal
Sr 0.153 0.153 0.488
Sr 0.847 0.847 0.512
Ga 0.000 0.500 0.000
Ga 0.188 0.812 0.000
Ga 0.415 0.415 0.358
Ga 0.500 0.000 0.000
Ga 0.585 0.585 0.642
Ga 0.812 0.188 0.000
Ru 0.385 0.385 0.854
Ru 0.615 0.615 0.146
CELL_PARAMETERS angstrom
6.213 -3.263 0.000
6.213 3.263 0.000
-0.023 0.000 5.102
```

For the total energy, the calculation gives -22.263 eV per formula unit. For the formation energy, the calculation gives -445 meV per atom.

***

No. 16
# Sr2Ga6TcRu

An optimized crystal structure of Sr2Ga6TcRu (PBE-GGA, the Alexandria database). Values from VASP.

Structure (Quantum ESPRESSO input):
```
&SYSTEM
  ibrav = 0, nat = 10, ntyp = 4
/
ATOMIC_SPECIES
Sr 87.62 Sr.upf
Ga 69.72 Ga.upf
Tc 98.00 Tc.upf
Ru 101.07 Ru.upf
ATOMIC_POSITIONS crystal
Sr 0.250 0.250 0.000
Sr 0.750 0.750 0.000
Ga 0.251 0.249 0.500
Ga 0.251 0.751 0.002
Ga 0.251 0.751 0.500
Ga 0.749 0.249 0.500
Ga 0.749 0.249 0.998
Ga 0.749 0.751 0.500
Tc 0.000 0.500 0.500
Ru 0.500 0.000 0.500
CELL_PARAMETERS angstrom
-3.420 3.427 4.843
3.420 -3.427 4.843
3.420 3.427 -4.843
```

For the total energy, the calculation gives -44.996 eV per formula unit. For the formation energy, the calculation gives -383 meV per atom.

***

No. 17
# SrZnGaRu

An optimized crystal structure of SrZnGaRu (PBE-GGA, the Alexandria database). Values from VASP.

Structure (Quantum ESPRESSO input):
```
&SYSTEM
  ibrav = 0, nat = 4, ntyp = 4
/
ATOMIC_SPECIES
Sr 87.62 Sr.upf
Zn 65.41 Zn.upf
Ga 69.72 Ga.upf
Ru 101.07 Ru.upf
ATOMIC_POSITIONS crystal
Sr 0.000 0.000 0.000
Zn 0.500 0.500 0.000
Ga 0.500 0.000 0.500
Ru 0.500 0.500 0.500
CELL_PARAMETERS angstrom
4.203 0.000 0.000
0.000 4.786 0.000
0.000 0.000 4.887
```

For the total energy, the calculation gives -14.843 eV per formula unit. For the formation energy, the calculation gives 104 meV per atom.

***

No. 18
# TaGa3Ru

An optimized crystal structure of TaGa3Ru (PBE-GGA, the Alexandria database). Values from VASP.

Structure (Quantum ESPRESSO input):
```
&SYSTEM
  ibrav = 0, nat = 5, ntyp = 3
/
ATOMIC_SPECIES
Ta 180.95 Ta.upf
Ga 69.72 Ga.upf
Ru 101.07 Ru.upf
ATOMIC_POSITIONS crystal
Ta 0.000 0.000 0.000
Ga 0.000 0.500 0.500
Ga 0.500 0.000 0.500
Ga 0.500 0.500 0.000
Ru 0.500 0.500 0.500
CELL_PARAMETERS angstrom
4.746 0.000 0.000
0.000 4.746 0.000
0.000 0.000 4.746
```

For the total energy, the calculation gives -26.361 eV per formula unit. For the formation energy, the calculation gives 770 meV per atom.

***

No. 19
# TaGa5Ru6

An optimized crystal structure of TaGa5Ru6 (PBE-GGA, the Alexandria database). Values from VASP.

Structure (Quantum ESPRESSO input):
```
&SYSTEM
  ibrav = 0, nat = 12, ntyp = 3
/
ATOMIC_SPECIES
Ta 180.95 Ta.upf
Ga 69.72 Ga.upf
Ru 101.07 Ru.upf
ATOMIC_POSITIONS crystal
Ta 0.000 0.000 0.000
Ga 0.000 0.000 0.500
Ga 0.335 0.665 0.500
Ga 0.337 0.663 0.000
Ga 0.663 0.337 0.000
Ga 0.665 0.335 0.500
Ru 0.170 0.830 0.252
Ru 0.170 0.830 0.748
Ru 0.500 0.500 0.258
Ru 0.500 0.500 0.742
Ru 0.830 0.170 0.252
Ru 0.830 0.170 0.748
CELL_PARAMETERS angstrom
2.164 -6.459 0.000
2.164 6.459 0.000
0.000 0.000 6.109
```

For the total energy, the calculation gives -87.562 eV per formula unit. For the formation energy, the calculation gives -410 meV per atom.

***

No. 20
# TaGa3Ru4

An optimized crystal structure of TaGa3Ru4 (PBE-GGA, the Alexandria database). Values from VASP.

Structure (Quantum ESPRESSO input):
```
&SYSTEM
  ibrav = 0, nat = 8, ntyp = 3
/
ATOMIC_SPECIES
Ta 180.95 Ta.upf
Ga 69.72 Ga.upf
Ru 101.07 Ru.upf
ATOMIC_POSITIONS crystal
Ta 0.000 0.000 0.000
Ga 0.251 0.251 0.000
Ga 0.500 0.500 0.000
Ga 0.749 0.749 0.000
Ru 0.129 0.629 0.500
Ru 0.371 0.871 0.500
Ru 0.629 0.129 0.500
Ru 0.871 0.371 0.500
CELL_PARAMETERS angstrom
-2.171 2.171 6.105
2.171 -2.171 6.105
2.171 2.171 -6.105
```

For the total energy, the calculation gives -61.727 eV per formula unit. For the formation energy, the calculation gives -461 meV per atom.